Compound: CsBaTe2I
Source: the Alexandria database
Functional: PBE-GGA
Structure: optimized geometry

* calculated density: 4.1 g/cm³
* relative energy among the computed polymorphs: 483 meV per atom
* total DFT energy (no corrections): -2.466 eV per atom
* spin magnetization: 0.288 μB/cell
* formation energy without anion corrections: -0.344 eV per atom

Unit cell a=6.2932 b=6.2932 c=6.7489 alpha=90.00 beta=90.00 gamma=90.00
Last column: nearest neighbours and their distance in Å.
Fractional coordinates of all 5 atoms:
Cs1 0.0000 0.0000 0.0000  4 Te 3.15, 2 I 3.37
Ba1 0.5000 0.5000 0.5000  4 I 4.45, 8 Te 4.61
Te1 0.0000 0.5000 0.0000  2 Cs 3.15
Te2 0.5000 0.0000 0.0000  2 Cs 3.15
I1 0.0000 0.0000 0.5000  2 Cs 3.37